VASP calculation (GGA-PBE) on a geometry-optimized K3AgH8Pd2 structure.

Cell: 5.5093 5.5093 7.5383 Å, 90.00 90.00 120.00°
Space group P-3m1 (No. 164)
Unique sites:
K (0.0000, 0.0000, 0.0000)
K (0.3333, 0.6667, 0.7452)
Ag (0.0000, 0.0000, 0.5000)
H (0.1502, 0.3005, 0.3464)
H (0.3333, 0.6667, 0.0904)
Pd (0.3333, 0.6667, 0.3101)

Values from the calculation:
Uncorrected energy   -3.1165 eV per atom
DOS at the Fermi energy   0.0245 states/eV per atom